No. 1
This record from Alexandria describes a relaxed structure of Mg2CoMo. The functional is PBE.

Structure (POSCAR):
```
Mg2CoMo
1.0
-1.476 2.356 4.666
1.476 -2.356 4.666
1.476 2.356 -4.666
Mg Co Mo
2 1 1
direct
0.000 0.000 0.000
0.716 0.216 0.500
0.236 0.736 0.500
0.437 0.437 0.000
```

- space-group type = Imm2, No. 44
- formation energy from the elements (kJ/mol of formula units) = 120



No. 2
This record from Alexandria describes a relaxed structure of CrAg2Os. The functional is PBE.

Structure (POSCAR):
```
CrAg2Os
1.0
-3.699 3.699 2.597
3.699 -3.699 2.597
3.699 3.699 -2.597
Cr Ag Os
2 4 2
direct
0.000 0.000 0.000
0.750 0.250 0.500
0.125 0.625 0.000
0.375 0.375 0.500
0.625 0.125 0.000
0.875 0.875 0.500
0.250 0.750 0.500
0.500 0.500 0.000
```

- space-group type = I-42d, No. 122
- formation energy from the elements (kJ/mol of formula units) = 450



No. 3
This record from Alexandria describes a relaxed structure of PmTmI. The functional is PBE.

Structure (POSCAR):
```
PmTmI
1.0
5.418 0.000 0.000
-2.709 4.692 0.000
0.000 0.000 3.812
Pm Tm I
1 1 1
direct
0.000 0.000 0.000
0.333 0.667 0.519
0.667 0.333 0.661
```

- total energy (eV per atom) = -3.76
- space-group type = P3m1, No. 156



No. 4
This record from Alexandria describes a relaxed structure of Na2ScHg2. The functional is PBE.

Structure (POSCAR):
```
Na2ScHg2
1.0
-2.010 2.010 7.541
2.010 -2.010 7.541
2.010 2.010 -7.541
Na Sc Hg
2 1 2
direct
0.250 0.750 0.500
0.750 0.250 0.500
0.000 0.000 0.000
0.405 0.405 0.000
0.595 0.595 0.000
```

- space-group type = I4/mmm, No. 139
- formation energy from the elements (kJ/mol of formula units) = -19



No. 5
This record from Alexandria describes a relaxed structure of KSi4Pt4. The functional is PBE.

Structure (POSCAR):
```
KSi4Pt4
1.0
-4.234 4.234 2.321
4.234 -4.234 2.321
4.234 4.234 -2.321
K Si Pt
1 4 4
direct
0.000 0.000 0.000
0.136 0.636 0.272
0.364 0.864 0.728
0.636 0.364 0.500
0.864 0.136 0.500
0.076 0.924 0.500
0.424 0.576 0.500
0.576 0.076 0.152
0.924 0.424 0.848
```

- total energy (eV per atom) = -5.94
- space-group type = I422, No. 97



No. 6
This record from Alexandria describes a relaxed structure of Nd2Ho12Zr. The functional is PBE.

Structure (POSCAR):
```
Nd2Ho12Zr
1.0
3.513 -5.638 0.000
3.513 5.638 0.000
-2.841 0.000 23.805
Nd Ho Zr
4 24 2
direct
0.215 0.215 0.234
0.279 0.279 0.768
0.721 0.721 0.232
0.785 0.785 0.766
0.011 0.011 0.380
0.070 0.575 0.435
0.090 0.090 0.922
0.108 0.597 0.944
0.196 0.691 0.173
0.241 0.741 0.694
0.259 0.759 0.306
0.309 0.804 0.827
0.398 0.398 0.070
0.403 0.892 0.056
0.425 0.930 0.565
0.492 0.492 0.619
0.508 0.508 0.381
0.575 0.070 0.435
0.597 0.108 0.944
0.602 0.602 0.930
0.691 0.196 0.173
0.741 0.241 0.694
0.759 0.259 0.306
0.804 0.309 0.827
0.892 0.403 0.056
0.910 0.910 0.078
0.930 0.425 0.565
0.989 0.989 0.620
0.266 0.266 0.498
0.734 0.734 0.502
```

- space-group type = C2/m, No. 12
- formation energy from the elements (kJ/mol of formula units) = 211



No. 7
This record from Alexandria describes a relaxed structure of LiTi2Cr2. The functional is PBE.

Structure (POSCAR):
```
LiTi2Cr2
1.0
7.128 0.000 0.000
0.000 7.128 0.000
0.000 0.000 2.996
Li Ti Cr
2 4 4
direct
0.000 0.000 0.000
0.500 0.500 0.000
0.194 0.306 0.500
0.306 0.806 0.500
0.694 0.194 0.500
0.806 0.694 0.500
0.100 0.600 0.000
0.400 0.100 0.000
0.600 0.900 0.000
0.900 0.400 0.000
```

- space-group type = P4/mbm, No. 127
- formation energy from the elements (kJ/mol of formula units) = 154



No. 8
This record from Alexandria describes a relaxed structure of PmGe2Pt6. The functional is PBE.

Structure (POSCAR):
```
PmGe2Pt6
1.0
4.909 -3.211 0.000
4.909 3.211 0.000
-0.935 0.000 5.256
Pm Ge Pt
1 2 6
direct
0.000 0.000 0.000
0.376 0.376 0.151
0.624 0.624 0.849
0.062 0.494 0.751
0.255 0.745 0.500
0.494 0.062 0.751
0.506 0.938 0.249
0.745 0.255 0.500
0.938 0.506 0.249
```

- space-group type = C2/m, No. 12
- formation energy from the elements (kJ/mol of formula units) = -441